An optimized crystal structure of NaCoCuTc, computed with PBE. Values from VASP.

```
&SYSTEM
  ibrav = 0, nat = 4, ntyp = 4
/
ATOMIC_SPECIES
Cu 63.55 Cu.upf
Na 22.99 Na.upf
Tc 98.00 Tc.upf
Co 58.93 Co.upf
ATOMIC_POSITIONS crystal
Cu 0.0000 0.0000 0.0000
Na 0.7500 0.7500 0.7500
Tc 0.5000 0.5000 0.5000
Co 0.2500 0.2500 0.2500
CELL_PARAMETERS angstrom
0.0000 2.9784 2.9784
2.9784 0.0000 2.9784
2.9784 2.9784 0.0000
```

Calculated values
* energy relative to the lowest polymorph listed for this composition: 14.2 meV/atom